Compound: YTm2Th
Source: Alexandria
Functional: PBE
Structure: relaxed

Cell lengths 5.6310, 5.6310, 5.6310 Å; angles 60.00, 60.00, 60.00 degrees
Closest atoms and distances in Å follow each position.
Sites, in units of the cell vectors:
1 Y 0.0000 0.0000 0.0000  8 Tm 3.45
2 Tm 0.2500 0.2500 0.2500  4 Th 3.45, 4 Y 3.45
3 Tm 0.7500 0.7500 0.7500  4 Y 3.45, 4 Th 3.45
4 Th 0.5000 0.5000 0.5000  8 Tm 3.45

Results
- Relative energy among the computed polymorphs: 123 meV/atom
- Space group: No. 225
- Energy relative to the elements: 0.13 eV/atom
- Calculated total energy: -22.32 eV for the cell shown